(1)
Be2NiAu after structural relaxation. Source: Alexandria, functional PBE.

Summary:
DFT formation energy (eV per atom): -0.26
Volume (Å³/cell): 44
Magnetization (μB per formula unit): 0.00
Total DFT energy (no corrections) (eV per atom): -4.39

Cell: 2.7666 2.8994 5.5019 Å, 90.00 90.00 90.00°
Space group Pmmm (No. 47)
Unique sites:
Be 0.0000 0.0000 0.2044 [2 per cell]
Ni 0.5000 0.5000 0.0000 [1 per cell]
Au 0.5000 0.5000 0.5000 [1 per cell]

***

(2)
BeNiAu2 after structural relaxation. Source: Alexandria, functional PBE.

Summary:
DFT formation energy (eV per atom): -0.02
Volume (Å³/cell): 56
Magnetization (μB per formula unit): 0.00
Total DFT energy (no corrections) (eV per atom): -4.03

Cell: 4.0276 4.0276 3.4316 Å, 90.00 90.00 90.00°
Space group P4/mmm (No. 123)
Unique sites:
Be 0.0000 0.0000 0.0000 [1 per cell]
Ni 0.5000 0.5000 0.0000 [1 per cell]
Au 0.0000 0.5000 0.5000 [2 per cell]

***

(3)
Be4NiAu after structural relaxation. Source: Alexandria, functional PBE.

Summary:
DFT formation energy (eV per atom): -0.23
Volume (Å³/cell): 233
Magnetization (μB per formula unit): 0.00
Total DFT energy (no corrections) (eV per atom): -4.23

Cell: 6.1544 6.1544 6.1544 Å, 90.00 90.00 90.00°
Space group F-43m (No. 216)
Unique sites:
Be 0.1240 0.1240 0.1240 [16 per cell]
Ni 0.2500 0.2500 0.7500 [4 per cell]
Au 0.0000 0.0000 0.5000 [4 per cell]

***

(4)
BeNiAu2 after structural relaxation. Source: Alexandria, functional PBE.

Summary:
DFT formation energy (eV per atom): 0.58
Volume (Å³/cell): 313
Magnetization (μB per formula unit): 0.10
Total DFT energy (no corrections) (eV per atom): -3.44

Cell: 5.3973 5.3973 10.7373 Å, 90.00 90.00 90.00°
Space group I-42d (No. 122)
Unique sites:
Be 0.0000 0.0000 0.0000 [4 per cell]
Ni 0.0000 0.0000 0.5000 [4 per cell]
Au 0.2119 0.2500 0.1250 [8 per cell]

***

(5)
BeNiAu4 after structural relaxation. Source: Alexandria, functional PBE.

Summary:
DFT formation energy (eV per atom): 0.57
Volume (Å³/cell): 440
Magnetization (μB per formula unit): 0.13
Total DFT energy (no corrections) (eV per atom): -3.20

Cell: 7.6053 7.6053 7.6053 Å, 90.00 90.00 90.00°
Space group F-43m (No. 216)
Unique sites:
Be 0.0000 0.0000 0.0000 [4 per cell]
Ni 0.2500 0.2500 0.7500 [4 per cell]
Au 0.1250 0.1250 0.3750 [16 per cell]

***

(6)
BeNiAu after structural relaxation. Source: Alexandria, functional PBE.

Summary:
DFT formation energy (eV per atom): -0.17
Volume (Å³/cell): 73
Magnetization (μB per formula unit): 0.00
Total DFT energy (no corrections) (eV per atom): -4.43

Cell: 2.7762 2.7762 9.4369 Å, 90.00 90.00 90.00°
Space group I4mm (No. 107)
Unique sites:
Be 0.0000 0.0000 0.0000 [2 per cell]
Ni 0.0000 0.0000 0.3802 [2 per cell]
Au 0.0000 0.0000 0.6726 [2 per cell]

***

(7)
BeNiPdAu after structural relaxation. Source: Alexandria, functional PBE.

Summary:
DFT formation energy (eV per atom): -0.13
Volume (Å³/cell): 210
Magnetization (μB per formula unit): 0.00
Total DFT energy (no corrections) (eV per atom): -4.63

Cell: 5.9451 5.9451 5.9451 Å, 90.00 90.00 90.00°
Space group F-43m (No. 216)
Unique sites:
Be 0.0000 0.0000 0.0000 [4 per cell]
Ni 0.0000 0.0000 0.5000 [4 per cell]
Pd 0.2500 0.2500 0.7500 [4 per cell]
Au 0.2500 0.2500 0.2500 [4 per cell]

***

(8)
BeNi2RhAu after structural relaxation. Source: Alexandria, functional PBE.

Summary:
DFT formation energy (eV per atom): 0.90
Volume (Å³/cell): 83
Magnetization (μB per formula unit): 1.97
Total DFT energy (no corrections) (eV per atom): -4.28

Cell: 4.5329 4.5329 4.0389 Å, 90.00 90.00 90.00°
Space group P4/mmm (No. 123)
Unique sites:
Be 0.0000 0.0000 0.0000 [1 per cell]
Ni 0.0000 0.5000 0.5000 [2 per cell]
Rh 0.0000 0.0000 0.5000 [1 per cell]
Au 0.5000 0.5000 0.0000 [1 per cell]

***

(9)
SrBe2NiAu after structural relaxation. Source: Alexandria, functional PBE.

Summary:
DFT formation energy (eV per atom): 2.06
Volume (Å³/cell): 126
Magnetization (μB per formula unit): 0.00
Total DFT energy (no corrections) (eV per atom): -1.57

Cell: 5.1356 5.1356 4.7714 Å, 90.00 90.00 90.00°
Space group P4/mmm (No. 123)
Unique sites:
Sr 0.0000 0.0000 0.0000 [1 per cell]
Be 0.0000 0.5000 0.0000 [2 per cell]
Ni 0.0000 0.0000 0.5000 [1 per cell]
Au 0.5000 0.5000 0.5000 [1 per cell]

***

(10)
Ta2BeNiAu after structural relaxation. Source: Alexandria, functional PBE.

Summary:
DFT formation energy (eV per atom): 0.36
Volume (Å³/cell): 77
Magnetization (μB per formula unit): 0.00
Total DFT energy (no corrections) (eV per atom): -6.94

Cell: 4.4237 4.4237 3.9324 Å, 90.00 90.00 90.00°
Space group P4/mmm (No. 123)
Unique sites:
Ta 0.0000 0.5000 0.0000 [2 per cell]
Be 0.0000 0.0000 0.0000 [1 per cell]
Ni 0.0000 0.0000 0.5000 [1 per cell]
Au 0.5000 0.5000 0.5000 [1 per cell]

***

(11)
BeTcNi2Au after structural relaxation. Source: Alexandria, functional PBE.

Summary:
DFT formation energy (eV per atom): 1.61
Volume (Å³/cell): 98
Magnetization (μB per formula unit): 0.00
Total DFT energy (no corrections) (eV per atom): -4.18

Cell: 4.3823 4.3823 5.0988 Å, 90.00 90.00 90.00°
Space group P4/mmm (No. 123)
Unique sites:
Be 0.0000 0.0000 0.0000 [1 per cell]
Tc 0.5000 0.5000 0.5000 [1 per cell]
Ni 0.0000 0.5000 0.5000 [2 per cell]
Au 0.5000 0.5000 0.0000 [1 per cell]

***

(12)
BeNiWAu2 after structural relaxation. Source: Alexandria, functional PBE.

Summary:
DFT formation energy (eV per atom): 1.12
Volume (Å³/cell): 83
Magnetization (μB per formula unit): 1.94
Total DFT energy (no corrections) (eV per atom): -4.69

Cell: 4.7290 4.7290 3.7075 Å, 90.00 90.00 90.00°
Space group P4/mmm (No. 123)
Unique sites:
Be 0.0000 0.0000 0.0000 [1 per cell]
Ni 0.0000 0.0000 0.5000 [1 per cell]
W 0.5000 0.5000 0.0000 [1 per cell]
Au 0.0000 0.5000 0.5000 [2 per cell]

***

Question: Which of these has the lowest DFT formation energy?
Answer: Be2NiAu

***

Question: Look up the volume of the twelfth one.
Answer: 83 Å³/cell